Record 1
! AgSn2Se4 | Alexandria | PBE | relaxed; values from VASP
! E_form (uncorrected) = -0.293 eV/atom
&SYSTEM
  ibrav = 0, nat = 28, ntyp = 3
/
ATOMIC_SPECIES
Se 78.96 Se.upf
Sn 118.71 Sn.upf
Ag 107.87 Ag.upf
CELL_PARAMETERS angstrom
-4.505 5.610 -3.869
-1.689 -7.934 -0.914
-5.689 3.942 12.341
ATOMIC_POSITIONS crystal
Se 0.372 0.243 0.615
Se 0.628 0.757 0.385
Sn 0.500 0.000 0.000
Ag 0.438 0.376 0.812
Se 0.864 0.755 0.622
Se 0.364 0.755 0.122
Ag 0.062 0.624 0.688
Sn 0.000 0.000 0.000
Ag 0.938 0.376 0.312
Sn 0.500 0.500 0.500
Se 0.391 0.755 0.622
Sn 0.750 0.000 0.750
Sn 0.000 0.500 0.000
Se 0.636 0.245 0.878
Se 0.134 0.769 0.378
Se 0.872 0.243 0.115
Se 0.136 0.245 0.378
Se 0.128 0.757 0.885
Se 0.635 0.769 0.878
Se 0.866 0.231 0.622
Se 0.109 0.245 0.878
Sn 0.250 0.000 0.250
Sn 0.500 0.000 0.500
Sn 0.000 0.000 0.500
Se 0.609 0.245 0.378
Ag 0.562 0.624 0.188
Se 0.365 0.231 0.122
Se 0.891 0.755 0.122



Record 2
! Nd4ZnHgO | Alexandria | PBE | relaxed; values from VASP
! E_form (uncorrected) = -0.966 eV/atom
&SYSTEM
  ibrav = 0, nat = 14, ntyp = 4
/
ATOMIC_SPECIES
Nd 144.24 Nd.upf
Zn 65.41 Zn.upf
Hg 200.59 Hg.upf
O 16.00 O.upf
CELL_PARAMETERS angstrom
-6.640 0.163 2.147
0.855 -6.205 3.115
5.466 3.413 5.298
ATOMIC_POSITIONS crystal
Nd 0.925 0.250 0.850
Zn 0.628 0.750 0.255
Nd 0.500 0.500 0.500
Nd 0.075 0.750 0.150
Hg 0.121 0.250 0.241
Zn 0.372 0.250 0.745
Nd 0.567 0.250 0.134
Nd 0.433 0.750 0.866
Hg 0.879 0.750 0.759
Nd 0.000 0.500 0.500
O 0.251 0.750 0.502
Nd 0.500 0.000 0.500
Nd 0.000 0.000 0.500
O 0.749 0.250 0.498



Record 3
PaNiPd5 | PBE | relaxed Values from VASP.

```
&SYSTEM
  ibrav = 0, nat = 14, ntyp = 3
/
ATOMIC_SPECIES
Pd 106.42 Pd.upf
Ni 58.69 Ni.upf
Pa 231.04 Pa.upf
CELL_PARAMETERS angstrom
7.043 1.588 1.416
3.741 6.176 1.416
5.820 4.190 8.162
ATOMIC_POSITIONS crystal
Pd 0.723 0.732 0.894
Pd 0.277 0.268 0.106
Pd 0.729 0.723 0.653
Pd 0.277 0.271 0.847
Pd 0.723 0.729 0.153
Ni 0.000 0.000 0.000
Pd 0.775 0.225 0.750
Pd 0.271 0.277 0.347
Pd 0.225 0.775 0.250
Pa 0.760 0.240 0.250
Ni 0.000 0.000 0.500
Pa 0.240 0.760 0.750
Pd 0.732 0.723 0.394
Pd 0.268 0.277 0.606
```



Record 4
LiNi6P4 | PBE | relaxed Values from VASP.

```
&SYSTEM
  ibrav = 0, nat = 11, ntyp = 3
/
ATOMIC_SPECIES
P 30.97 P.upf
Ni 58.69 Ni.upf
Li 6.94 Li.upf
CELL_PARAMETERS angstrom
3.407 0.000 0.000
0.000 5.753 -3.321
0.000 0.000 6.643
ATOMIC_POSITIONS crystal
P 0.500 0.821 0.179
Ni 0.500 0.602 0.801
Li 0.000 0.000 0.000
P 0.000 0.333 0.667
P 0.500 0.359 0.179
Ni 0.000 0.537 0.073
Ni 0.000 0.927 0.463
Ni 0.500 0.199 0.801
Ni 0.500 0.199 0.398
P 0.500 0.821 0.641
Ni 0.000 0.537 0.463
```



Record 5
! LiSmIr | Alexandria | PBE | relaxed; values from VASP
! ΔE to the lowest computed polymorph = 0.0 meV/atom
&SYSTEM
  ibrav = 0, nat = 18, ntyp = 3
/
ATOMIC_SPECIES
Li 6.94 Li.upf
Sm 150.36 Sm.upf
Ir 192.22 Ir.upf
CELL_PARAMETERS angstrom
4.035 0.000 0.000
0.000 7.149 -0.001
0.000 -0.023 12.391
ATOMIC_POSITIONS crystal
Li 0.750 0.127 0.537
Sm 0.750 0.545 0.378
Ir 0.750 0.744 0.586
Sm 0.250 0.338 0.918
Sm 0.750 0.662 0.082
Sm 0.250 0.949 0.715
Li 0.250 0.008 0.082
Ir 0.750 0.252 0.079
Li 0.750 0.628 0.803
Ir 0.250 0.748 0.921
Sm 0.750 0.051 0.285
Li 0.250 0.873 0.463
Li 0.750 0.992 0.918
Li 0.250 0.372 0.197
Ir 0.250 0.256 0.414
Ir 0.250 0.758 0.250
Ir 0.750 0.242 0.750
Sm 0.250 0.455 0.622



Record 6
PaTlZnCd | PBE | relaxed Values from VASP.

```
&SYSTEM
  ibrav = 0, nat = 4, ntyp = 4
/
ATOMIC_SPECIES
Cd 112.41 Cd.upf
Pa 231.04 Pa.upf
Tl 204.38 Tl.upf
Zn 65.41 Zn.upf
CELL_PARAMETERS angstrom
-0.292 -5.048 -0.396
1.164 -2.927 3.976
-3.655 -2.529 2.444
ATOMIC_POSITIONS crystal
Cd 0.250 0.250 0.250
Pa 0.750 0.750 0.750
Tl 0.500 0.500 0.500
Zn 0.000 0.000 0.000
```



Record 7
Np4Ge16Rh3 | PBE | relaxed Values from VASP.

```
&SYSTEM
  ibrav = 0, nat = 23, ntyp = 3
/
ATOMIC_SPECIES
Np 237.00 Np.upf
Rh 102.91 Rh.upf
Ge 72.64 Ge.upf
CELL_PARAMETERS angstrom
-2.036 -1.990 5.494
-5.232 -1.969 -2.652
4.702 -9.976 -1.870
ATOMIC_POSITIONS crystal
Np 0.000 0.500 0.812
Rh 0.000 0.500 0.500
Ge 0.747 0.747 0.376
Ge 0.000 0.000 0.230
Np 0.500 0.000 0.812
Ge 0.500 0.500 0.792
Ge 0.252 0.748 0.376
Ge 0.500 0.500 0.208
Np 0.500 0.000 0.188
Ge 0.284 0.716 0.000
Rh 0.500 0.000 0.500
Ge 0.748 0.748 0.624
Ge 0.284 0.284 0.000
Np 0.000 0.500 0.188
Ge 0.748 0.252 0.376
Ge 0.252 0.252 0.376
Rh 0.000 0.000 0.000
Ge 0.748 0.252 0.624
Ge 0.000 0.000 0.770
Ge 0.253 0.253 0.624
Ge 0.716 0.716 0.000
Ge 0.252 0.748 0.624
Ge 0.716 0.284 0.000
```



Record 8
CePmDy4Tm2 | PBE | relaxed Values from VASP.

```
&SYSTEM
  ibrav = 0, nat = 8, ntyp = 4
/
ATOMIC_SPECIES
Dy 162.50 Dy.upf
Tm 168.93 Tm.upf
Pm 145.00 Pm.upf
Ce 140.12 Ce.upf
CELL_PARAMETERS angstrom
-0.541 -4.981 -0.264
4.637 -0.598 1.788
1.025 -0.701 11.112
ATOMIC_POSITIONS crystal
Dy 0.000 0.248 0.252
Dy 0.500 0.253 0.747
Tm 0.000 0.000 0.000
Pm 0.500 0.500 0.000
Dy 0.000 0.752 0.748
Tm 0.500 0.000 0.500
Dy 0.500 0.747 0.253
Ce 0.000 0.500 0.500
```



| no. | uncorrected energy (eV/f.u.) | N(E_F) (states/eV/f.u.) |
| --- | --- | --- |
| 1 | -26.848 | 2.75 |
| 2 | -32.369 | 2.86 |
| 3 | -43.033 | 4.32 |
| 4 | -64.223 | 6.78 |
| 5 | -16.880 | 1.35 |
| 6 | -13.323 | 3.55 |
| 7 | -152.612 | 35.38 |
| 8 | -37.651 | 13.38 |